[1]
# TiRuN2

An optimized crystal structure of TiRuN2 (GGA-PBEsol, the Alexandria database).

Geometry as POSCAR:
```
TiRuN2
1.0
-3.7560 0.8894 -2.2543
-2.2683 -2.7539 2.6928
2.1238 4.4799 2.6605
Ru Ti N
2 2 4
Cartesian
-1.5783 0.3969 2.7863 Ru
0.0000 0.0000 0.0000 Ru
-3.0121 -0.9323 0.2193 Ti
-2.3222 2.2185 0.3128 Ti
0.8358 3.1220 2.0550 N
-2.8689 -0.9546 2.1720 N
-2.1683 2.1995 2.2647 N
-3.5995 0.8639 -0.2936 N
```

Values from the calculation:
**N(E_F)**: 5.03 states/eV/cell
**Energy relative to the elements, uncorrected**: -0.644 eV/atom
**Electronic total energy**: -9.5306 eV/atom
**M_tot**: 0.00 μB per formula unit
**Space group**: I-42d, No. 122

***

[2]
# YTl2RuN

An optimized crystal structure of YTl2RuN (GGA-PBEsol, the Alexandria database).

Geometry as POSCAR:
```
YTl2RuN
1.0
-2.3666 -2.8358 -0.4824
2.8478 -1.6845 -4.0689
2.8795 -2.9539 3.2382
Y Tl N Ru
1 2 1 1
Cartesian
1.6803 -3.7371 -0.6565 Y
1.4239 -0.8422 -2.0344 Tl
1.4397 -1.4769 1.6191 Tl
0.0000 0.0000 0.0000 N
-1.1833 -1.4179 -0.2412 Ru
```

Values from the calculation:
**N(E_F)**: 4.14 states/eV/cell
**Energy relative to the elements, uncorrected**: 0.198 eV/atom
**Electronic total energy**: -5.9587 eV/atom
**M_tot**: 0.00 μB per formula unit
**Space group**: P4/mmm, No. 123

***

[3]
# RuW2N2

An optimized crystal structure of RuW2N2 (GGA-PBEsol, the Alexandria database).

Geometry as POSCAR:
```
RuW2N2
1.0
-3.7386 1.0371 -1.4211
0.1008 -2.6202 3.8293
-0.8223 1.9204 3.5648
W Ru N
2 1 2
Cartesian
-3.3702 0.9080 3.5225 W
-1.0898 -0.5707 2.4506 W
0.0000 0.0000 0.0000 Ru
-1.5796 0.2120 4.3104 N
-2.8804 0.1253 1.6626 N
```

Values from the calculation:
**N(E_F)**: 2.42 states/eV/cell
**Energy relative to the elements, uncorrected**: -0.100 eV/atom
**Electronic total energy**: -11.0683 eV/atom
**M_tot**: 0.00 μB per formula unit
**Space group**: I4/mmm, No. 139

***

[4]
# RuWN3

An optimized crystal structure of RuWN3 (GGA-PBEsol, the Alexandria database).

Geometry as POSCAR:
```
RuWN3
1.0
-2.1249 -3.0159 -1.2587
0.7960 -1.9338 3.2897
-3.1696 1.5362 1.6700
Ru N W
1 3 1
Cartesian
-2.2492 -1.7067 1.8505 Ru
-1.0625 -1.5079 -0.6293 N
-1.5848 0.7681 0.8350 N
0.3980 -0.9669 1.6448 N
0.0000 0.0000 0.0000 W
```

Values from the calculation:
**N(E_F)**: 3.66 states/eV/cell
**Energy relative to the elements, uncorrected**: 0.976 eV/atom
**Electronic total energy**: -8.9359 eV/atom
**M_tot**: 2.09 μB per formula unit
**Space group**: Pm-3m, No. 221

***

[5]
# RuWN3

An optimized crystal structure of RuWN3 (GGA-PBEsol, the Alexandria database).

Geometry as POSCAR:
```
RuWN3
1.0
3.7568 0.0000 0.0000
0.0000 3.7568 0.0000
0.0000 0.0000 3.7568
N W Ru
3 1 1
Cartesian
0.0000 0.0000 1.8784 N
0.0000 1.8784 0.0000 N
1.8784 0.0000 0.0000 N
1.8784 1.8784 1.8784 W
0.0000 0.0000 0.0000 Ru
```

Values from the calculation:
**N(E_F)**: 4.63 states/eV/cell
**Energy relative to the elements, uncorrected**: 1.438 eV/atom
**Electronic total energy**: -8.4743 eV/atom
**M_tot**: 0.00 μB per formula unit
**Space group**: Pm-3m, No. 221

***

[6]
# YRuN2

An optimized crystal structure of YRuN2 (GGA-PBEsol, the Alexandria database).

Geometry as POSCAR:
```
YRuN2
1.0
3.5396 0.0000 0.0000
1.7698 3.0654 0.0000
1.7698 1.0218 5.7450
Y N Ru
1 2 1
Cartesian
3.5396 2.0436 2.8725 Y
1.7698 1.0218 3.9584 N
5.3094 3.0654 1.7866 N
0.0000 0.0000 0.0000 Ru
```

Values from the calculation:
**N(E_F)**: 1.69 states/eV/cell
**Energy relative to the elements, uncorrected**: -0.350 eV/atom
**Electronic total energy**: -8.8623 eV/atom
**M_tot**: 0.00 μB per formula unit
**Space group**: R-3m, No. 166

***

[7]
# Zr4Ru2N

An optimized crystal structure of Zr4Ru2N (GGA-PBEsol, the Alexandria database).

Geometry as POSCAR:
```
Zr4Ru2N
1.0
-8.2194 -2.5011 -1.1550
-1.9623 -5.6958 -6.2335
-2.4138 -8.0581 2.0950
Zr N Ru
16 4 8
Cartesian
-2.7813 -6.0609 0.3858 Zr
-4.8659 -8.1019 -0.8987 Zr
-1.5744 -2.0319 -0.6617 Zr
-5.5893 -10.2017 -3.1966 Zr
-10.8784 -12.2168 -5.7181 Zr
-5.6841 -3.2824 -1.2392 Zr
-10.1550 -10.1171 -3.4202 Zr
-11.0449 -13.0877 -2.6478 Zr
-8.7382 -14.2654 -4.5200 Zr
-7.8483 -11.2948 -5.2923 Zr
-8.0148 -12.1657 -2.2220 Zr
-7.7296 -8.1531 -4.3948 Zr
-2.5556 -4.8798 -3.7784 Zr
-7.8960 -9.0240 -1.3245 Zr
-7.0062 -6.0533 -2.0968 Zr
-4.6995 -7.2310 -3.9690 Zr
-3.7625 -8.9088 -2.7309 N
-6.8910 -7.3115 -0.1917 N
-6.6653 -6.1303 -4.3559 N
-7.8722 -10.1594 -3.3084 N
-11.5018 -14.8435 -4.8338 Ru
-10.2211 -11.1261 -0.7654 Ru
-5.8180 -10.7345 -0.4157 Ru
-9.6071 -7.1076 -2.5369 Ru
-6.1372 -13.2111 -4.0800 Ru
-9.9264 -9.5843 -6.2011 Ru
-5.5233 -9.1927 -5.8514 Ru
-4.2426 -5.4753 -1.7830 Ru
```

Values from the calculation:
**N(E_F)**: 14.55 states/eV/cell
**Energy relative to the elements, uncorrected**: -0.896 eV/atom
**Electronic total energy**: -10.2147 eV/atom
**M_tot**: 0.00 μB per formula unit
**Space group**: Fd-3m, No. 227

***

[8]
# Zr3RuN

An optimized crystal structure of Zr3RuN (GGA-PBEsol, the Alexandria database).

Geometry as POSCAR:
```
Zr3RuN
1.0
4.3749 0.0000 0.0000
0.0000 4.3749 0.0000
0.0000 0.0000 4.3749
Zr N Ru
3 1 1
Cartesian
0.0000 0.0000 2.1875 Zr
2.1875 0.0000 0.0000 Zr
0.0000 2.1875 0.0000 Zr
0.0000 0.0000 0.0000 N
2.1875 2.1875 2.1875 Ru
```

Values from the calculation:
**N(E_F)**: 5.89 states/eV/cell
**Energy relative to the elements, uncorrected**: -0.804 eV/atom
**Electronic total energy**: -9.9974 eV/atom
**M_tot**: 0.00 μB per formula unit
**Space group**: Pm-3m, No. 221

***

[9]
# SbS2N

An optimized crystal structure of SbS2N (GGA-PBEsol, the Alexandria database).

Geometry as POSCAR:
```
SbS2N
1.0
4.4646 0.0000 0.0000
2.2323 3.8664 0.0000
2.2323 1.2888 3.6453
S N Sb
2 1 1
Cartesian
2.2323 1.2888 0.9113 S
6.6969 3.8664 2.7340 S
0.0000 0.0000 0.0000 N
4.4646 2.5776 1.8227 Sb
```

Values from the calculation:
**N(E_F)**: 3.01 states/eV/cell
**Energy relative to the elements, uncorrected**: 1.242 eV/atom
**Electronic total energy**: -4.2206 eV/atom
**M_tot**: 1.38 μB per formula unit
**Offset from the most stable computed form**: 409 meV/atom
**Space group**: Fm-3m, No. 225

***

[10]
# SbS2N

An optimized crystal structure of SbS2N (GGA-PBEsol, the Alexandria database).

Geometry as POSCAR:
```
SbS2N
1.0
-3.6283 3.0180 2.3356
-3.6237 -3.7353 -0.8026
4.8084 -1.7756 3.8282
Sb S N
2 4 2
Cartesian
0.0000 0.0000 0.0000 Sb
-1.2206 -2.9348 1.8961 Sb
-0.2445 -1.0774 3.9803 S
-4.0118 -2.0129 1.5700 S
-2.6490 0.2283 2.2604 S
2.0181 -2.1241 2.9118 S
-3.6260 -0.3587 0.7665 N
-1.2229 0.4418 3.4652 N
```

Values from the calculation:
**N(E_F)**: 5.14 states/eV/cell
**Energy relative to the elements, uncorrected**: 0.834 eV/atom
**Electronic total energy**: -4.6291 eV/atom
**M_tot**: 0.00 μB per formula unit
**Offset from the most stable computed form**: 0 meV/atom
**Space group**: I-42d, No. 122

***

[11]
# SbSe2SN

An optimized crystal structure of SbSe2SN (GGA-PBEsol, the Alexandria database).

Geometry as POSCAR:
```
SbSe2SN
1.0
-2.9500 1.7422 0.5085
-2.4666 -3.3120 -2.9625
-1.0039 -2.8853 4.0616
Se Sb N S
2 1 1 1
Cartesian
-0.5020 -1.4427 2.0308 Se
-1.2333 -1.6560 -1.4812 Se
-3.2102 -2.2276 0.8038 Sb
-1.4750 0.8711 0.2542 N
0.0000 0.0000 0.0000 S
```

Values from the calculation:
**N(E_F)**: 3.15 states/eV/cell
**Energy relative to the elements, uncorrected**: 0.654 eV/atom
**Electronic total energy**: -4.3799 eV/atom
**M_tot**: 0.00 μB per formula unit
**Space group**: P4/mmm, No. 123

***

[12]
# TaSbSN2

An optimized crystal structure of TaSbSN2 (GGA-PBEsol, the Alexandria database).

Geometry as POSCAR:
```
TaSbSN2
1.0
3.9653 0.0000 0.0000
0.0000 3.9653 0.0000
0.0000 0.0000 4.8092
N Ta Sb S
2 1 1 1
Cartesian
1.9826 0.0000 0.0000 N
0.0000 1.9826 0.0000 N
1.9826 1.9826 2.4046 Ta
0.0000 0.0000 0.0000 Sb
0.0000 0.0000 2.4046 S
```

Values from the calculation:
**N(E_F)**: 3.88 states/eV/cell
**Energy relative to the elements, uncorrected**: 1.321 eV/atom
**Electronic total energy**: -6.3886 eV/atom
**M_tot**: 1.30 μB per formula unit
**Space group**: P4/mmm, No. 123